1.
This record from the Alexandria database describes crystalline Li3Cd at its relaxed geometry. The functional is GGA-PBEsol.

a = 5.0585 Å, b = 9.6151 Å, c = 5.8822 Å
α = 90.00°, β = 90.00°, γ = 90.00°
Last column: nearest neighbours and their distance in Å.
Space group Pnma (No. 62)
One atom of each set of equivalent atoms:
Li 0.0848 0.2500 0.1203 (multiplicity 4)  4 Cd 2.84-2.98, 8 Li 2.90-3.02
Li 0.2401 0.5061 0.3728 (multiplicity 8)  9 Li 2.86-3.03, 3 Cd 2.89-2.94
Cd 0.0931 0.2500 0.6143 (multiplicity 4)  10 Li 2.84-2.98, 2 Cd 2.99



2.
This record from the Alexandria database describes crystalline Li3Cd at its relaxed geometry. The functional is GGA-PBEsol.

a = 2.8333 Å, b = 4.7044 Å, c = 5.4629 Å
α = 90.00°, β = 98.48°, γ = 90.00°
Last column: nearest neighbours and their distance in Å.
Space group P2/m (No. 10)
One atom of each set of equivalent atoms:
Li 0.0000 0.0000 0.0000 (multiplicity 1)  6 Li 2.83-2.84, 2 Cd 2.89
Li 0.1899 0.5000 0.7400 (multiplicity 2)  5 Li 2.68-2.84, 2 Cd 2.89
Cd 0.5000 0.0000 0.5000 (multiplicity 1)  2 Cd 2.83, 6 Li 2.89



3.
This record from the Alexandria database describes crystalline Li2Cd at its relaxed geometry. The functional is GGA-PBEsol.

a = 2.9524 Å, b = 4.0714 Å, c = 8.8394 Å
α = 90.00°, β = 90.00°, γ = 90.00°
Last column: nearest neighbours and their distance in Å.
Space group Immm (No. 71)
One atom of each set of equivalent atoms:
Li 0.0000 0.0000 0.1623 (multiplicity 4)  7 Li 2.87-2.95, 5 Cd 2.90-2.98
Cd 0.0000 0.0000 0.5000 (multiplicity 2)  10 Li 2.90-2.98, 2 Cd 2.95



4.
This record from the Alexandria database describes crystalline Li3Cd at its relaxed geometry. The functional is GGA-PBEsol.

a = 5.8571 Å, b = 14.3994 Å, c = 5.0317 Å
α = 90.00°, β = 90.00°, γ = 90.00°
Last column: nearest neighbours and their distance in Å.
Space group Pmmn (No. 59, origin choice 2)
One atom of each set of equivalent atoms:
Li 0.0004 0.2500 0.0239 (multiplicity 4)  8 Li 2.84-2.98, 4 Cd 2.90-2.93
Li 0.0006 0.0844 0.6747 (multiplicity 8)  4 Cd 2.90-2.91, 8 Li 2.90-3.00
Li 0.2500 0.2500 0.5084 (multiplicity 2)  8 Li 2.84-2.98, 4 Cd 2.93-2.94
Li 0.2500 0.5825 0.8233 (multiplicity 4)  8 Li 2.90-2.93, 4 Cd 2.93-2.99
Cd 0.2500 0.0819 0.1752 (multiplicity 4)  12 Li 2.91-2.96
Cd 0.2500 0.7500 0.4727 (multiplicity 2)  12 Li 2.90-2.99



5.
This record from the Alexandria database describes crystalline LiCd2 at its relaxed geometry. The functional is GGA-PBEsol.

a = 5.6930 Å, b = 4.6656 Å, c = 8.2360 Å
α = 90.00°, β = 90.00°, γ = 90.00°
Last column: nearest neighbours and their distance in Å.
Space group Pnma (No. 62)
One atom of each set of equivalent atoms:
Li 0.2482 0.2500 0.0862 (multiplicity 4)  5 Cd 2.71-2.85
Cd 0.0006 0.2500 0.7501 (multiplicity 4)  8 Cd 2.85-3.09, 6 Li 3.04-3.12
Cd 0.2484 0.2500 0.4178 (multiplicity 4)  5 Li 2.71-2.85



6.
This record from the Alexandria database describes crystalline LiCd3 at its relaxed geometry. The functional is GGA-PBEsol.

a = 5.9591 Å, b = 8.3367 Å, c = 3.1590 Å
α = 90.00°, β = 90.00°, γ = 90.00°
Last column: nearest neighbours and their distance in Å.
Space group Cmmm (No. 65)
One atom of each set of equivalent atoms:
Li 0.0000 0.0000 0.0000 (multiplicity 2)  10 Cd 2.98-3.01, 2 Li 3.16
Cd 0.0000 0.5000 0.0000 (multiplicity 2)  2 Li 2.98, 10 Cd 3.01-3.16
Cd 0.2500 0.2500 0.5000 (multiplicity 4)  8 Cd 2.98-3.16, 4 Li 3.01



7.
This record from the Alexandria database describes crystalline Li3Cd at its relaxed geometry. The functional is GGA-PBEsol.

a = 5.2355 Å, b = 5.2355 Å, c = 5.2355 Å
α = 90.00°, β = 90.00°, γ = 90.00°
Last column: nearest neighbours and their distance in Å.
Space group Pm-3n (No. 223)
One atom of each set of equivalent atoms:
Li 0.0000 0.2500 0.5000 (multiplicity 6)  2 Li 2.62, 4 Cd 2.93
Cd 0.0000 0.0000 0.0000 (multiplicity 2)  12 Li 2.93



8.
This record from the Alexandria database describes crystalline Li3Cd at its relaxed geometry. The functional is GGA-PBEsol.

a = 5.8426 Å, b = 5.8426 Å, c = 9.6374 Å
α = 90.00°, β = 90.00°, γ = 120.00°
Last column: nearest neighbours and their distance in Å.
Space group P6_3/mmc (No. 194)
One atom of each set of equivalent atoms:
Li 0.0000 0.5000 0.0000 (multiplicity 6)  8 Li 2.92-2.95, 4 Cd 2.92-2.94
Li 0.1621 0.3242 0.2500 (multiplicity 6)  8 Li 2.84-3.00, 4 Cd 2.91-2.92
Cd 0.0000 0.0000 0.0000 (multiplicity 2)  12 Li 2.91-2.92
Cd 0.3333 0.6667 0.7500 (multiplicity 2)  12 Li 2.92-2.94



9.
This record from the Alexandria database describes crystalline Li2Cd at its relaxed geometry. The functional is GGA-PBEsol.

a = 4.5868 Å, b = 4.5868 Å, c = 2.8447 Å
α = 90.00°, β = 90.00°, γ = 120.00°
Last column: nearest neighbours and their distance in Å.
Space group P6/mmm (No. 191)
One atom of each set of equivalent atoms:
Li 0.3333 0.6667 0.0000 (multiplicity 2)  5 Li 2.65-2.84
Cd 0.0000 0.0000 0.5000 (multiplicity 1)  2 Cd 2.84, 12 Li 3.01



10.
This record from the Alexandria database describes crystalline LiCd2 at its relaxed geometry. The functional is GGA-PBEsol.

a = 3.0174 Å, b = 3.0174 Å, c = 7.3063 Å
α = 90.00°, β = 90.00°, γ = 120.00°
Last column: nearest neighbours and their distance in Å.
Space group P-3m1 (No. 164)
One atom of each set of equivalent atoms:
Li 0.0000 0.0000 0.0000 (multiplicity 1)  6 Cd 2.91, 6 Li 3.02
Cd 0.3333 0.6667 0.3192 (multiplicity 2)  3 Li 2.91, 9 Cd 3.02-3.16



11.
This record from the Alexandria database describes crystalline LiCd3 at its relaxed geometry. The functional is GGA-PBEsol.

a = 4.8245 Å, b = 6.1158 Å, c = 5.1613 Å
α = 90.00°, β = 90.00°, γ = 90.00°
Last column: nearest neighbours and their distance in Å.
Space group Pmmn (No. 59, origin choice 2)
One atom of each set of equivalent atoms:
Li 0.2500 0.2500 0.1673 (multiplicity 2)  12 Cd 2.97-3.06
Cd 0.2500 0.5007 0.6749 (multiplicity 4)  8 Cd 2.96-3.07, 4 Li 2.97-3.04
Cd 0.2500 0.7500 0.1673 (multiplicity 2)  8 Cd 2.96-3.03, 4 Li 2.97-3.06



12.
This record from the Alexandria database describes crystalline Li5Cd3 at its relaxed geometry. The functional is GGA-PBEsol.

a = 6.5412 Å, b = 9.2206 Å, c = 4.6025 Å
α = 90.00°, β = 90.00°, γ = 90.00°
Last column: nearest neighbours and their distance in Å.
Space group Cmmm (No. 65)
One atom of each set of equivalent atoms:
Li 0.0000 0.0000 0.0000 (multiplicity 2)  8 Li 2.81-2.83
Li 0.2477 0.0000 0.5000 (multiplicity 4)  6 Cd 2.80-2.85, 2 Li 2.81
Li 0.2500 0.2500 0.0000 (multiplicity 4)  6 Cd 2.82-2.83, 2 Li 2.83
Cd 0.0000 0.2542 0.5000 (multiplicity 4)  8 Li 2.80-2.85
Cd 0.0000 0.5000 0.0000 (multiplicity 2)  8 Li 2.83



13.
This record from the Alexandria database describes crystalline Li3Cd at its relaxed geometry. The functional is GGA-PBEsol.

a = 6.5551 Å, b = 6.5551 Å, c = 6.5551 Å
α = 90.00°, β = 90.00°, γ = 90.00°
Last column: nearest neighbours and their distance in Å.
Space group Fm-3m (No. 225)
One atom of each set of equivalent atoms:
Li 0.0000 0.0000 0.0000 (multiplicity 4)  8 Li 2.84
Li 0.2500 0.2500 0.2500 (multiplicity 8)  4 Cd 2.84, 4 Li 2.84
Cd 0.0000 0.0000 0.5000 (multiplicity 4)  8 Li 2.84



14.
This record from the Alexandria database describes crystalline Li3Cd at its relaxed geometry. The functional is GGA-PBEsol.

a = 4.1481 Å, b = 4.2674 Å, c = 7.9787 Å
α = 90.00°, β = 90.00°, γ = 90.00°
Last column: nearest neighbours and their distance in Å.
Space group Immm (No. 71)
One atom of each set of equivalent atoms:
Li 0.0000 0.0000 0.0000 (multiplicity 2)  8 Li 2.87-2.93, 4 Cd 2.98
Li 0.0000 0.5000 0.2514 (multiplicity 4)  8 Li 2.87-2.98, 4 Cd 2.89-2.91
Cd 0.0000 0.0000 0.5000 (multiplicity 2)  12 Li 2.89-2.98



15.
This record from the Alexandria database describes crystalline Li2Cd at its relaxed geometry. The functional is GGA-PBEsol.

a = 8.0825 Å, b = 8.0825 Å, c = 2.9210 Å
α = 90.00°, β = 90.00°, γ = 120.00°
Last column: nearest neighbours and their distance in Å.
Space group P-62m (No. 189)
One atom of each set of equivalent atoms:
Li 0.0000 0.3645 0.0000 (multiplicity 3)  8 Li 2.92-3.10, 5 Cd 2.95-2.96
Li 0.0000 0.6980 0.5000 (multiplicity 3)  4 Cd 2.83-2.84, 8 Li 2.92-3.10
Cd 0.0000 0.0000 0.0000 (multiplicity 1)  9 Li 2.84-2.95, 2 Cd 2.92
Cd 0.3333 0.6667 0.5000 (multiplicity 2)  9 Li 2.83-2.96, 2 Cd 2.92



16.
This record from the Alexandria database describes crystalline Li2Cd at its relaxed geometry. The functional is GGA-PBEsol.

a = 3.0278 Å, b = 3.0278 Å, c = 7.2176 Å
α = 90.00°, β = 90.00°, γ = 120.00°
Last column: nearest neighbours and their distance in Å.
Space group P-3m1 (No. 164)
One atom of each set of equivalent atoms:
Li 0.3333 0.6667 0.3259 (multiplicity 2)  3 Cd 2.93, 9 Li 3.03-3.06
Cd 0.0000 0.0000 0.0000 (multiplicity 1)  6 Li 2.93, 6 Cd 3.03



17.
This record from the Alexandria database describes crystalline LiCd2 at its relaxed geometry. The functional is GGA-PBEsol.

a = 4.8336 Å, b = 4.8336 Å, c = 2.9536 Å
α = 90.00°, β = 90.00°, γ = 120.00°
Last column: nearest neighbours and their distance in Å.
Space group P6/mmm (No. 191)
One atom of each set of equivalent atoms:
Li 0.0000 0.0000 0.0000 (multiplicity 1)  2 Li 2.95, 12 Cd 3.16
Cd 0.3333 0.6667 0.5000 (multiplicity 2)  5 Cd 2.79-2.95



18.
This record from the Alexandria database describes crystalline Li3Cd at its relaxed geometry. The functional is GGA-PBEsol.

a = 8.9375 Å, b = 6.9224 Å, c = 4.5752 Å
α = 90.00°, β = 90.00°, γ = 90.00°
Last column: nearest neighbours and their distance in Å.
Space group Cmcm (No. 63)
One atom of each set of equivalent atoms:
Li 0.0000 0.1069 0.2500 (multiplicity 4)  6 Li 2.72-2.91, 2 Cd 2.85
Li 0.2297 0.3717 0.2500 (multiplicity 8)  6 Li 2.75-2.91, 4 Cd 2.80-3.08
Cd 0.0000 0.3532 0.7500 (multiplicity 4)  10 Li 2.80-3.08, 2 Cd 3.06



19.
This record from the Alexandria database describes crystalline LiCd3 at its relaxed geometry. The functional is GGA-PBEsol.

a = 3.0556 Å, b = 3.0556 Å, c = 9.6200 Å
α = 90.00°, β = 90.00°, γ = 120.00°
Last column: nearest neighbours and their distance in Å.
Space group P-6m2 (No. 187)
One atom of each set of equivalent atoms:
Li 0.0000 0.0000 0.0000 (multiplicity 1)  6 Cd 2.86, 6 Li 3.06
Cd 0.0000 0.0000 0.5000 (multiplicity 1)  12 Cd 3.06-3.10
Cd 0.6667 0.3333 0.2346 (multiplicity 2)  3 Li 2.86, 9 Cd 3.06-3.10



20.
This record from the Alexandria database describes crystalline Li3Cd at its relaxed geometry. The functional is GGA-PBEsol.

a = 9.1964 Å, b = 9.1964 Å, c = 2.9383 Å
α = 90.00°, β = 90.00°, γ = 120.00°
Last column: nearest neighbours and their distance in Å.
Space group R-3m (No. 166, hexagonal axes)
One atom of each set of equivalent atoms:
Li 0.0000 0.5000 0.0000 (multiplicity 9)  6 Li 2.83-2.94, 2 Cd 2.83
Cd 0.0000 0.0000 0.0000 (multiplicity 3)  6 Li 2.83, 2 Cd 2.94



21.
This record from the Alexandria database describes crystalline Li4Cd5 at its relaxed geometry. The functional is GGA-PBEsol.

a = 8.6555 Å, b = 8.6555 Å, c = 4.4670 Å
α = 90.00°, β = 90.00°, γ = 90.00°
Last column: nearest neighbours and their distance in Å.
Space group I4/mmm (No. 139)
One atom of each set of equivalent atoms:
Li 0.0000 0.3238 0.0000 (multiplicity 8)  7 Cd 2.80-2.99, 5 Li 3.05-3.10
Cd 0.0000 0.0000 0.0000 (multiplicity 2)  4 Li 2.80, 8 Cd 3.06
Cd 0.1707 0.1707 0.5000 (multiplicity 8)  6 Li 2.85-2.99, 6 Cd 2.95-3.06



22.
This record from the Alexandria database describes crystalline LiCd3 at its relaxed geometry. The functional is GGA-PBEsol.

a = 3.3648 Å, b = 3.3648 Å, c = 6.6522 Å
α = 90.00°, β = 90.00°, γ = 90.00°
Last column: nearest neighbours and their distance in Å.
Space group P4/mmm (No. 123)
One atom of each set of equivalent atoms:
Li 0.0000 0.0000 0.0000 (multiplicity 1)  8 Cd 2.81
Cd 0.0000 0.0000 0.5000 (multiplicity 1)  8 Cd 3.00, 2 Li 3.33
Cd 0.5000 0.5000 0.2261 (multiplicity 2)  4 Li 2.81, 5 Cd 3.00-3.01



23.
This record from the Alexandria database describes crystalline LiCd3 at its relaxed geometry. The functional is GGA-PBEsol.

a = 3.1418 Å, b = 9.5838 Å, c = 5.1388 Å
α = 90.00°, β = 90.00°, γ = 90.00°
Last column: nearest neighbours and their distance in Å.
Space group Imm2 (No. 44)
One atom of each set of equivalent atoms:
Li 0.0000 0.0000 0.0000 (multiplicity 2)  10 Cd 2.97-3.03, 2 Li 3.14
Cd 0.0000 0.2509 0.6552 (multiplicity 4)  9 Cd 2.96-3.14, 3 Li 2.97-2.99
Cd 0.0000 0.5000 0.9953 (multiplicity 2)  8 Cd 2.96-3.14, 4 Li 2.99-3.03



24.
This record from the Alexandria database describes crystalline LiCd3 at its relaxed geometry. The functional is GGA-PBEsol.

a = 4.5110 Å, b = 4.5110 Å, c = 7.5152 Å
α = 90.00°, β = 90.00°, γ = 90.00°
Last column: nearest neighbours and their distance in Å.
Space group I4/mmm (No. 139)
One atom of each set of equivalent atoms:
Li 0.0000 0.0000 0.0000 (multiplicity 2)  12 Cd 2.94-3.19
Cd 0.0000 0.0000 0.5000 (multiplicity 2)  8 Cd 2.94, 4 Li 3.19
Cd 0.0000 0.5000 0.2500 (multiplicity 4)  8 Cd 2.94-3.19, 4 Li 2.94



25.
This record from the Alexandria database describes crystalline Li5Cd at its relaxed geometry. The functional is GGA-PBEsol.

a = 7.5729 Å, b = 7.5729 Å, c = 7.5729 Å
α = 90.00°, β = 90.00°, γ = 90.00°
Last column: nearest neighbours and their distance in Å.
Space group F-43m (No. 216)
One atom of each set of equivalent atoms:
Li 0.0000 0.0000 0.0000 (multiplicity 4)  12 Li 3.14, 4 Cd 3.28
Li 0.1240 0.1240 0.6240 (multiplicity 16)  6 Li 2.66-2.70
Cd 0.2500 0.2500 0.2500 (multiplicity 4)  16 Li 3.14-3.28



26.
This record from the Alexandria database describes crystalline Li3Cd at its relaxed geometry. The functional is GGA-PBEsol.

a = 9.8437 Å, b = 3.0376 Å, c = 4.9352 Å
α = 90.00°, β = 103.42°, γ = 90.00°
Last column: nearest neighbours and their distance in Å.
Space group C2/m (No. 12)
One atom of each set of equivalent atoms:
Li 0.0000 0.0000 0.0000 (multiplicity 2)  4 Cd 2.90, 8 Li 2.95-3.04
Li 0.2466 0.0000 0.7416 (multiplicity 4)  9 Li 2.84-3.04, 3 Cd 2.88-3.00
Cd 0.0000 0.5000 0.5000 (multiplicity 2)  10 Li 2.88-3.00, 2 Cd 3.04



Number 1: E_form -162 meV/atom. Number 2: E_form -148 meV/atom. Number 3: E_form -203 meV/atom. Number 4: E_form -175 meV/atom. Number 5: E_form -214 meV/atom. Number 6: E_form -130 meV/atom. Number 7: E_form -147 meV/atom. Number 8: E_form -165 meV/atom. Number 9: E_form -209 meV/atom. Number 10: E_form -129 meV/atom. Number 11: E_form -207 meV/atom. Number 12: E_form -219 meV/atom. Number 13: E_form -174 meV/atom. Number 14: E_form -174 meV/atom. Number 15: E_form -174 meV/atom. Number 16: E_form -114 meV/atom. Number 17: E_form -188 meV/atom. Number 18: E_form -162 meV/atom. Number 19: E_form -121 meV/atom. Number 20: E_form -145 meV/atom. Number 21: E_form -212 meV/atom. Number 22: E_form -161 meV/atom. Number 23: E_form -151 meV/atom. Number 24: E_form -186 meV/atom. Number 25: E_form -32 meV/atom. Number 26: E_form -157 meV/atom.